The following is a DFT calculation (GGA-PBE) of crystalline LiMg3Hg at its relaxed geometry.

Calculated values
As for the polymorph energy (0 for the lowest one): 1.62 eV per formula unit. As for the space group: Pm-3m (221). The calculation puts the uncorrected energy at -1.26 eV per atom.

Unit cell a=5.263 b=5.263 c=5.263 alpha=90.00 beta=90.00 gamma=90.00
Atoms (fractional coordinates):
Mg (0.000, 0.500, 0.000)
Mg (0.000, 0.000, 0.500)
Mg (0.500, 0.000, 0.000)
Hg (0.000, 0.000, 0.000)
Li (0.500, 0.500, 0.500)